{"formula": "AcNdC4", "functional": "GGA-PBE", "state": "optimized geometry", "cell": [[3.8084, 0.0000, 1.1015], [1.8598, 3.8807, 0.7044], [0.0169, -0.0064, 7.0758]], "species": ["Ac", "Nd", "C", "C", "C", "C"], "fractional_positions": [[0.0000, 0.0000, 0.0000], [0.5000, 0.5000, 0.5000], [0.8051, 0.6076, 0.7822], [0.2949, 0.0965, 0.3137], [0.1949, 0.3924, 0.2178], [0.7051, 0.9035, 0.6863]], "space_group": "C2/m", "mass_density_g_cm3": 6.66, "formation_energy_mev_per_atom": -88.9}